Below is a relaxed LiHfTlNi crystal, with properties calculated at the PBE level.

abc: 6.362 6.362 6.362
angles: 90.00 90.00 90.00
Space group F-43m (No. 216)
One atom of each set of equivalent atoms:
Li  0.000  0.000  0.000 x4
Hf  0.250  0.250  0.750 x4
Tl  0.250  0.250  0.250 x4
Ni  0.000  0.000  0.500 x4

E_tot, eV/atom: -5.19
Formation energy from the elements, eV per atom: -0.183